<i>
Ac2PrLu | PBE | relaxed

Summary:
Theoretical density: 8.1 g/cm3
Crystal system: trigonal

a = 3.7142 Å, b = 3.7142 Å, c = 39.6871 Å
α = 90.00°, β = 90.00°, γ = 120.00°
Space group R-3m (No. 166, hexagonal axes)
Symmetry-distinct sites (fractional):
Ac: 0.0000 0.0000 0.0871 [6 per cell]
Pr: 0.0000 0.0000 0.5000 [3 per cell]
Lu: 0.0000 0.0000 0.0000 [3 per cell]



<ii>
Ac2PrLu | PBE | relaxed

Summary:
Theoretical density: 8.4 g/cm3
Crystal system: tetragonal

a = 5.4003 Å, b = 5.4003 Å, c = 5.2429 Å
α = 90.00°, β = 90.00°, γ = 90.00°
Space group P4/mmm (No. 123)
Symmetry-distinct sites (fractional):
Ac: 0.0000 0.5000 0.0000 [2 per cell]
Pr: 0.0000 0.0000 0.5000 [1 per cell]
Lu: 0.5000 0.5000 0.5000 [1 per cell]



Least stable structure: <i>



<i>
AcPrLu2 | PBE | relaxed

Summary:
Theoretical density: 8.7 g/cm3
Crystal system: tetragonal

a = 5.3397 Å, b = 5.3397 Å, c = 4.8254 Å
α = 90.00°, β = 90.00°, γ = 90.00°
Space group P4/mmm (No. 123)
Symmetry-distinct sites (fractional):
Ac: 0.0000 0.0000 0.0000 [1 per cell]
Pr: 0.5000 0.5000 0.0000 [1 per cell]
Lu: 0.0000 0.5000 0.5000 [2 per cell]



<ii>
AcPrLu2 | PBE | relaxed

Summary:
Theoretical density: 8.5 g/cm3
Crystal system: cubic

a = 8.2319 Å, b = 8.2319 Å, c = 8.2319 Å
α = 90.00°, β = 90.00°, γ = 90.00°
Space group Fm-3m (No. 225)
Symmetry-distinct sites (fractional):
Ac: 0.0000 0.0000 0.0000 [4 per cell]
Pr: 0.0000 0.0000 0.5000 [4 per cell]
Lu: 0.2500 0.2500 0.2500 [8 per cell]



<iii>
AcPrLu2 | PBE | relaxed

Summary:
Theoretical density: 8.7 g/cm3
Crystal system: trigonal

a = 3.6915 Å, b = 3.6915 Å, c = 34.8680 Å
α = 90.00°, β = 90.00°, γ = 120.00°
Space group R-3m (No. 166, hexagonal axes)
Symmetry-distinct sites (fractional):
Ac: 0.0000 0.0000 0.0000 [3 per cell]
Pr: 0.0000 0.0000 0.5000 [3 per cell]
Lu: 0.0000 0.0000 0.2481 [6 per cell]



<iv>
AcPrLu2 | PBE | relaxed

Summary:
Theoretical density: 8.6 g/cm3
Crystal system: tetragonal

a = 4.1671 Å, b = 4.1671 Å, c = 8.0009 Å
α = 90.00°, β = 90.00°, γ = 90.00°
Space group P4/mmm (No. 123)
Symmetry-distinct sites (fractional):
Ac: 0.0000 0.0000 0.0000 [1 per cell]
Pr: 0.0000 0.0000 0.5000 [1 per cell]
Lu: 0.5000 0.5000 0.2646 [2 per cell]



Least stable structure: <ii>



<i>
AcLu2Pt | PBE | relaxed

Summary:
Theoretical density: 11.4 g/cm3
Crystal system: tetragonal

a = 3.5588 Å, b = 3.5588 Å, c = 8.8529 Å
α = 90.00°, β = 90.00°, γ = 90.00°
Space group P4/mmm (No. 123)
Symmetry-distinct sites (fractional):
Ac: 0.0000 0.0000 0.0000 [1 per cell]
Lu: 0.5000 0.5000 0.3217 [2 per cell]
Pt: 0.0000 0.0000 0.5000 [1 per cell]



<ii>
AcLu2Pt | PBE | relaxed

Summary:
Theoretical density: 9.9 g/cm3
Crystal system: trigonal

a = 4.0187 Å, b = 4.0187 Å, c = 27.6746 Å
α = 90.00°, β = 90.00°, γ = 120.00°
Space group R-3m (No. 166, hexagonal axes)
Symmetry-distinct sites (fractional):
Ac: 0.0000 0.0000 0.0000 [3 per cell]
Lu: 0.0000 0.0000 0.2200 [6 per cell]
Pt: 0.0000 0.0000 0.5000 [3 per cell]



Least stable structure: <ii>



<i>
AcLu2Pu | PBE | relaxed

Summary:
Theoretical density: 10.4 g/cm3
Crystal system: tetragonal

a = 5.7505 Å, b = 5.7505 Å, c = 3.9648 Å
α = 90.00°, β = 90.00°, γ = 90.00°
Space group P4/mmm (No. 123)
Symmetry-distinct sites (fractional):
Ac: 0.0000 0.0000 0.0000 [1 per cell]
Lu: 0.0000 0.5000 0.5000 [2 per cell]
Pu: 0.5000 0.5000 0.0000 [1 per cell]



<ii>
AcLu2Pu | PBE | relaxed

Summary:
Theoretical density: 10.5 g/cm3
Crystal system: tetragonal

a = 3.6455 Å, b = 3.6455 Å, c = 9.7545 Å
α = 90.00°, β = 90.00°, γ = 90.00°
Space group P4/mmm (No. 123)
Symmetry-distinct sites (fractional):
Ac: 0.0000 0.0000 0.0000 [1 per cell]
Lu: 0.5000 0.5000 0.2734 [2 per cell]
Pu: 0.0000 0.0000 0.5000 [1 per cell]



Least stable structure: <i>



<i>
AcLuRh2 | PBE | relaxed

Summary:
Theoretical density: 10.6 g/cm3
Crystal system: trigonal

a = 4.4567 Å, b = 4.4567 Å, c = 16.5629 Å
α = 90.00°, β = 90.00°, γ = 120.00°
Space group R-3m (No. 166, hexagonal axes)
Symmetry-distinct sites (fractional):
Ac: 0.0000 0.0000 0.0000 [3 per cell]
Lu: 0.0000 0.0000 0.5000 [3 per cell]
Rh: 0.0000 0.0000 0.2209 [6 per cell]



<ii>
AcLuRh2 | PBE | relaxed

Summary:
Theoretical density: 11.4 g/cm3
Crystal system: tetragonal

a = 3.4911 Å, b = 3.4911 Å, c = 7.2341 Å
α = 90.00°, β = 90.00°, γ = 90.00°
Space group P4/mmm (No. 123)
Symmetry-distinct sites (fractional):
Ac: 0.0000 0.0000 0.0000 [1 per cell]
Lu: 0.0000 0.0000 0.5000 [1 per cell]
Rh: 0.5000 0.5000 0.2837 [2 per cell]



Least stable structure: <i>



<i>
AcLuRu | PBE | relaxed

Summary:
Theoretical density: 10.1 g/cm3
Crystal system: tetragonal

a = 3.5155 Å, b = 3.5155 Å, c = 13.4211 Å
α = 90.00°, β = 90.00°, γ = 90.00°
Space group I4mm (No. 107)
Symmetry-distinct sites (fractional):
Ac: 0.0000 0.0000 0.0000 [2 per cell]
Lu: 0.0000 0.0000 0.2536 [2 per cell]
Ru: 0.0000 0.0000 0.6450 [2 per cell]



<ii>
AcLuRu | PBE | relaxed

Summary:
Theoretical density: 9.7 g/cm3
Crystal system: cubic

a = 7.0031 Å, b = 7.0031 Å, c = 7.0031 Å
α = 90.00°, β = 90.00°, γ = 90.00°
Space group F-43m (No. 216)
Symmetry-distinct sites (fractional):
Ac: 0.0000 0.0000 0.0000 [4 per cell]
Lu: 0.0000 0.0000 0.5000 [4 per cell]
Ru: 0.2500 0.2500 0.2500 [4 per cell]



Least stable structure: <ii>



<i>
AcLuSc | PBE | relaxed

Summary:
Theoretical density: 7.6 g/cm3
Crystal system: tetragonal

a = 3.9869 Å, b = 3.9869 Å, c = 12.2689 Å
α = 90.00°, β = 90.00°, γ = 90.00°
Space group I4mm (No. 107)
Symmetry-distinct sites (fractional):
Ac: 0.0000 0.0000 0.0000 [2 per cell]
Lu: 0.0000 0.0000 0.3093 [2 per cell]
Sc: 0.0000 0.0000 0.6750 [2 per cell]



<ii>
AcLuSc | PBE | relaxed

Summary:
Theoretical density: 7.6 g/cm3
Crystal system: hexagonal

a = 5.6494 Å, b = 5.6494 Å, c = 3.5321 Å
α = 90.00°, β = 90.00°, γ = 120.00°
Space group P-6m2 (No. 187)
Symmetry-distinct sites (fractional):
Ac: 0.0000 0.0000 0.0000 [1 per cell]
Lu: 0.3333 0.6667 0.5000 [1 per cell]
Sc: 0.6667 0.3333 0.5000 [1 per cell]



Least stable structure: <ii>



<i>
Ac2LuSc | PBE | relaxed

Summary:
Theoretical density: 8.0 g/cm3
Crystal system: tetragonal

a = 3.9787 Å, b = 3.9787 Å, c = 8.8828 Å
α = 90.00°, β = 90.00°, γ = 90.00°
Space group P4/mmm (No. 123)
Symmetry-distinct sites (fractional):
Ac: 0.0000 0.0000 0.2409 [2 per cell]
Lu: 0.5000 0.5000 0.5000 [1 per cell]
Sc: 0.5000 0.5000 0.0000 [1 per cell]



<ii>
Ac2LuSc | PBE | relaxed

Summary:
Theoretical density: 7.9 g/cm3
Crystal system: cubic

a = 8.2646 Å, b = 8.2646 Å, c = 8.2646 Å
α = 90.00°, β = 90.00°, γ = 90.00°
Space group Fm-3m (No. 225)
Symmetry-distinct sites (fractional):
Ac: 0.2500 0.2500 0.2500 [8 per cell]
Lu: 0.0000 0.0000 0.0000 [4 per cell]
Sc: 0.0000 0.0000 0.5000 [4 per cell]



<iii>
Ac2LuSc | PBE | relaxed

Summary:
Theoretical density: 8.0 g/cm3
Crystal system: tetragonal

a = 5.5714 Å, b = 5.5714 Å, c = 4.5341 Å
α = 90.00°, β = 90.00°, γ = 90.00°
Space group P4/mmm (No. 123)
Symmetry-distinct sites (fractional):
Ac: 0.0000 0.5000 0.0000 [2 per cell]
Lu: 0.0000 0.0000 0.5000 [1 per cell]
Sc: 0.5000 0.5000 0.5000 [1 per cell]



Least stable structure: <ii>